Density functional theory data (PBE-GGA) for crystalline AlH6Os at its relaxed geometry.

Output
density	6.354	g/cm³
E	-4.2027	eV/atom

Structure (CIF):
```
data_AlH6Os
_chemical_formula_sum 'Al1 H6 Os1'
_space_group_name_H-M_alt 'P 1'
_space_group_IT_number 1
_cell_length_a 3.178
_cell_length_b 4.194
_cell_length_c 4.640
_cell_angle_alpha 70.85
_cell_angle_beta 93.10
_cell_angle_gamma 90.92
loop_
_space_group_symop_operation_xyz
'x,y,z'
loop_
_atom_site_label
_atom_site_fract_x
_atom_site_fract_y
_atom_site_fract_z
_atom_site_occupancy
H1 0.022 0.225 0.245 1
Os1 0.000 0.000 0.000 1
H2 0.808 0.696 0.314 1
H3 0.776 0.290 0.673 1
H4 0.192 0.304 0.686 1
H5 0.978 0.775 0.755 1
Al1 0.500 0.500 0.000 1
H6 0.224 0.710 0.327 1
```